1.
The following is a PBE-GGA calculation of crystalline HfP2Pb at its relaxed geometry, from Alexandria.

Energy (eV per atom): -6.6185
Formation enthalpy at 0 K (kJ/mol of formula units): -192.3

a b c (Å): 3.7858 3.7858 7.5203
angles (deg): 75.42 75.42 60.00
With the nearest neighbours (Å) after each atom.
Positions (direct):
1 Hf 0.6677 0.6677 0.9968  6 P 2.61-2.68
2 P 0.0675 0.0675 0.7975  3 Hf 2.61
3 P 0.2627 0.2627 0.2119  3 Hf 2.68, 3 Pb 2.98
4 Pb 0.5021 0.5021 0.4938  6 P 2.98-3.09

2.
The following is a PBE-GGA calculation of crystalline DyFeCo2 at its relaxed geometry, from Alexandria.

Energy (eV per atom): -6.7668
E above lowest polymorph (meV/atom): 126.9
Formation enthalpy at 0 K (kJ/mol of formula units): 20.2

a b c (Å): 4.4922 4.7681 11.8399
angles (deg): 90.00 90.00 90.00
With the nearest neighbours (Å) after each atom.
Positions (direct):
1 Dy 0.0000 0.2500 0.6918  3 Fe 2.84-2.93, 4 Co 3.17
2 Dy 0.5000 0.7500 0.0927  8 Co 2.75-2.77
3 Dy 0.0000 0.7500 0.3082  3 Fe 2.84-2.93, 4 Co 3.17
4 Dy 0.5000 0.2500 0.9073  8 Co 2.75-2.77
5 Fe 0.5000 0.7500 0.6712  4 Co 2.31-2.35
6 Fe 0.5000 0.2500 0.3288  4 Co 2.31-2.35
7 Fe 0.0000 0.2500 0.4524  4 Co 2.60, 4 Fe 2.64-2.68, 1 Dy 2.84
8 Fe 0.0000 0.7500 0.5476  4 Co 2.60, 4 Fe 2.64-2.68, 1 Dy 2.84
9 Co 0.0000 0.0000 0.0000  6 Co 2.38-2.49
10 Co 0.5000 0.5000 0.5000  6 Fe 2.35-2.60, 2 Co 2.38
11 Co 0.2469 0.7500 0.8412  2 Co 2.22-2.27, 1 Fe 2.31
12 Co 0.7531 0.2500 0.1588  2 Co 2.22-2.27, 1 Fe 2.31
13 Co 0.7531 0.7500 0.8412  2 Co 2.22-2.27, 1 Fe 2.31
14 Co 0.2469 0.2500 0.1588  2 Co 2.22-2.27, 1 Fe 2.31
15 Co 0.0000 0.5000 0.0000  6 Co 2.38-2.49
16 Co 0.5000 0.0000 0.5000  6 Fe 2.35-2.60, 2 Co 2.38

3.
The following is a PBE-GGA calculation of crystalline La5Ho12Tm2 at its relaxed geometry, from Alexandria.

Energy (eV per atom): -4.6272
Formation enthalpy at 0 K (kJ/mol of formula units): 57.6

a b c (Å): 6.2015 10.7304 12.8985
angles (deg): 133.74 94.67 84.41
With the nearest neighbours (Å) after each atom.
Positions (direct):
1 La 0.2639 0.4749 0.5528  2 La 3.56-3.58, 8 Ho 3.57-3.61, 2 Tm 3.62
2 La 0.1562 0.6873 0.1327  10 Ho 3.56-3.65, 2 La 3.57-3.61
3 La 0.0000 0.0000 0.5000  2 La 3.57, 10 Ho 3.58-3.61
4 La 0.8438 0.3127 0.8673  10 Ho 3.56-3.65, 2 La 3.57-3.61
5 La 0.7361 0.5251 0.4472  2 La 3.56-3.58, 8 Ho 3.57-3.61, 2 Tm 3.62
6 Ho 0.9452 0.1042 0.2860  6 Ho 3.53-3.65, 4 La 3.56-3.61, 2 Tm 3.57
7 Ho 0.1042 0.7923 0.9219  7 Ho 3.53-3.61, 3 Tm 3.53-3.58, 2 La 3.58-3.60
8 Ho 0.6306 0.7411 0.0269  2 Tm 3.52-3.53, 7 Ho 3.55-3.60, 3 La 3.58-3.65
9 Ho 0.2117 0.5752 0.3387  6 Ho 3.56-3.65, 5 La 3.57-3.60, 1 Tm 3.58
10 Ho 0.6818 0.6313 0.2364  7 Ho 3.56-3.61, 5 La 3.58-3.60
11 Ho 0.5246 0.9474 0.6067  7 Ho 3.56-3.61, 1 Tm 3.57, 4 La 3.58-3.60
12 Ho 0.4754 0.0526 0.3933  7 Ho 3.56-3.61, 1 Tm 3.57, 4 La 3.58-3.60
13 Ho 0.7883 0.4248 0.6613  6 Ho 3.56-3.65, 5 La 3.57-3.60, 1 Tm 3.58
14 Ho 0.3182 0.3687 0.7636  7 Ho 3.56-3.61, 5 La 3.58-3.60
15 Ho 0.8958 0.2077 0.0781  7 Ho 3.53-3.61, 3 Tm 3.53-3.58, 2 La 3.58-3.60
16 Ho 0.3694 0.2589 0.9731  2 Tm 3.52-3.53, 7 Ho 3.55-3.60, 3 La 3.58-3.65
17 Ho 0.0548 0.8958 0.7140  6 Ho 3.53-3.65, 4 La 3.56-3.61, 2 Tm 3.57
18 Tm 0.5809 0.8466 0.8201  1 Tm 3.52, 9 Ho 3.52-3.58, 2 La 3.62
19 Tm 0.4191 0.1534 0.1799  1 Tm 3.52, 9 Ho 3.52-3.58, 2 La 3.62

4.
The following is a PBE-GGA calculation of crystalline ScBe3Ga at its relaxed geometry, from Alexandria.

Energy (eV per atom): -2.3923
E above lowest polymorph (meV/atom): 1242.2
Formation enthalpy at 0 K (kJ/mol of formula units): 827.4

a b c (Å): 4.8261 4.8261 4.8261
angles (deg): 90.00 90.00 90.00
With the nearest neighbours (Å) after each atom.
Positions (direct):
1 Sc 0.0000 0.0000 0.0000  6 Be 2.41
2 Be 0.0000 0.5000 0.0000  2 Sc 2.41
3 Be 0.0000 0.0000 0.5000  2 Sc 2.41
4 Be 0.5000 0.0000 0.0000  2 Sc 2.41
5 Ga 0.5000 0.5000 0.5000  12 Be 3.41

5.
The following is a PBE-GGA calculation of crystalline ZrTl3In at its relaxed geometry, from Alexandria.

Energy (eV per atom): -3.2156
E above lowest polymorph (meV/atom): 0.0
Formation enthalpy at 0 K (kJ/mol of formula units): 222.6

a b c (Å): 5.6924 5.6924 5.6924
angles (deg): 90.00 90.00 90.00
With the nearest neighbours (Å) after each atom.
Positions (direct):
1 Tl 0.0000 0.5000 0.0000  2 Zr 2.85
2 Tl 0.0000 0.0000 0.5000  2 Zr 2.85
3 Tl 0.5000 0.0000 0.0000  2 Zr 2.85
4 Zr 0.0000 0.0000 0.0000  6 Tl 2.85
5 In 0.5000 0.5000 0.5000  12 Tl 4.03

6.
The following is a PBE-GGA calculation of crystalline TbY4Er4 at its relaxed geometry, from Alexandria.

Energy (eV per atom): -5.3071
E above lowest polymorph (meV/atom): 83.1
Formation enthalpy at 0 K (kJ/mol of formula units): 94.0

a b c (Å): 5.5033 8.8256 8.9364
angles (deg): 44.52 72.07 71.83
With the nearest neighbours (Å) after each atom.
Positions (direct):
1 Tb 0.5000 0.0000 0.0000  6 Y 3.47-3.62, 6 Er 3.57-3.66
2 Y 0.2791 0.1450 0.2968  4 Er 3.31-3.66, 3 Y 3.46-3.53, 1 Tb 3.47
3 Y 0.7209 0.8550 0.7032  4 Er 3.31-3.66, 3 Y 3.46-3.53, 1 Tb 3.47
4 Y 0.8647 0.2974 0.9733  6 Er 3.31-3.67, 3 Y 3.46-3.53, 2 Tb 3.62
5 Y 0.1353 0.7026 0.0267  6 Er 3.31-3.67, 3 Y 3.46-3.53, 2 Tb 3.62
6 Er 0.6345 0.4295 0.3016  6 Y 3.31-3.66, 2 Er 3.37, 1 Tb 3.57
7 Er 0.9282 0.7564 0.3872  3 Er 3.30-3.37, 4 Y 3.31-3.67, 2 Tb 3.66
8 Er 0.3655 0.5705 0.6984  6 Y 3.31-3.66, 2 Er 3.37, 1 Tb 3.57
9 Er 0.0718 0.2436 0.6128  3 Er 3.30-3.37, 4 Y 3.31-3.67, 2 Tb 3.66

7.
The following is a PBE-GGA calculation of crystalline Sm8TlTe4Se3 at its relaxed geometry, from Alexandria.

Energy (eV per atom): -5.3777

a b c (Å): 8.6466 8.7772 8.6481
angles (deg): 119.52 119.99 90.00
With the nearest neighbours (Å) after each atom.
Positions (direct):
1 Sm 0.2464 0.7292 0.9830  2 Se 2.97-2.98, 1 Tl 3.04, 3 Te 3.13-3.19
2 Sm 0.2464 0.7293 0.4927  2 Se 2.98, 1 Tl 3.04, 3 Te 3.13-3.19
3 Sm 0.2605 0.2815 0.5210  3 Se 2.95, 3 Te 3.22
4 Sm 0.7366 0.7292 0.9830  2 Se 2.97-2.98, 1 Tl 3.04, 3 Te 3.13-3.19
5 Sm 0.2634 0.2708 0.0170  2 Se 2.97-2.98, 1 Tl 3.04, 3 Te 3.13-3.19
6 Sm 0.7395 0.7185 0.4790  3 Se 2.95, 3 Te 3.22
7 Sm 0.7536 0.2707 0.5073  2 Se 2.98, 1 Tl 3.04, 3 Te 3.13-3.19
8 Sm 0.7536 0.2708 0.0170  2 Se 2.97-2.98, 1 Tl 3.04, 3 Te 3.13-3.19
9 Tl 0.0000 0.5000 0.0000  6 Sm 3.04
10 Te 0.5000 0.0000 0.0000  6 Sm 3.13
11 Te 0.5000 0.0000 0.5000  6 Sm 3.19-3.22
12 Te 0.0000 0.0000 0.0000  6 Sm 3.19-3.22
13 Te 0.0000 0.0000 0.5000  6 Sm 3.19-3.22
14 Se 0.5000 0.5000 0.0000  6 Sm 2.95-2.97
15 Se 0.5000 0.5000 0.5000  6 Sm 2.95-2.98
16 Se 0.0000 0.5000 0.5000  6 Sm 2.95-2.98

8.
The following is a PBE-GGA calculation of crystalline Fe2PbAu at its relaxed geometry, from Alexandria.

Energy (eV per atom): -5.5485
Formation enthalpy at 0 K (kJ/mol of formula units): 165.7

a b c (Å): 5.0399 5.0399 5.0399
angles (deg): 132.62 132.62 69.25
With the nearest neighbours (Å) after each atom.
Positions (direct):
1 Au 0.7500 0.2500 0.5000  8 Fe 2.86-2.90, 4 Pb 2.90
2 Fe 0.0000 0.0000 0.0000  4 Pb 2.86, 4 Fe 2.90, 4 Au 2.90
3 Fe 0.2500 0.7500 0.5000  4 Au 2.86, 4 Pb 2.90, 4 Fe 2.90
4 Pb 0.5000 0.5000 0.0000  8 Fe 2.86-2.90, 4 Au 2.90

9.
The following is a PBE-GGA calculation of crystalline Na2AlAgH6 at its relaxed geometry, from Alexandria.

Energy (eV per atom): -3.0058

a b c (Å): 5.3017 5.3003 5.3142
angles (deg): 120.01 120.05 90.07
With the nearest neighbours (Å) after each atom.
Positions (direct):
1 Na 0.7482 0.2547 0.5042  5 H 2.28-2.51
2 Na 0.2517 0.7461 0.4956  5 H 2.28-2.51
3 Al 0.9999 0.0004 0.9998  6 H 1.78
4 Ag 0.5000 0.5005 0.9998  6 H 2.02-2.06
5 H 0.7656 0.8458 0.0729  1 Al 1.78
6 H 0.7342 0.7167 0.5321  1 Al 1.78
7 H 0.2341 0.1550 0.9266  1 Al 1.78
8 H 0.7934 0.2618 0.9737  1 Al 1.78
9 H 0.2655 0.2841 0.4674  1 Al 1.78
10 H 0.2063 0.7389 0.0258  1 Al 1.78

10.
The following is a PBE-GGA calculation of crystalline Zr2TcMo3 at its relaxed geometry, from Alexandria.

Energy (eV per atom): -10.1884
Formation enthalpy at 0 K (kJ/mol of formula units): -113.4

a b c (Å): 5.3644 5.3644 5.3608
angles (deg): 90.00 120.01 120.01
With the nearest neighbours (Å) after each atom.
Positions (direct):
1 Zr 0.7489 0.3743 0.1232  9 Mo 3.14-3.15, 3 Tc 3.14, 4 Zr 3.28-3.30
2 Zr 0.2511 0.6257 0.8768  9 Mo 3.14-3.15, 3 Tc 3.14, 4 Zr 3.28-3.30
3 Tc 0.0000 0.0000 0.0000  6 Mo 2.68
4 Mo 0.5000 0.5000 0.5000  2 Tc 2.68, 4 Mo 2.68
5 Mo 0.0000 0.0000 0.5000  2 Tc 2.68, 4 Mo 2.68
6 Mo 0.5000 0.0000 0.5000  2 Tc 2.68, 4 Mo 2.68

11.
The following is a PBE-GGA calculation of crystalline HfTlIr2W at its relaxed geometry, from Alexandria.

Energy (eV per atom): -6.6365
Formation enthalpy at 0 K (kJ/mol of formula units): 946.7

a b c (Å): 4.8116 5.2725 4.8116
angles (deg): 90.00 90.00 90.00
With the nearest neighbours (Å) after each atom.
Positions (direct):
1 Tl 0.0000 0.5000 0.0000  2 Hf 2.64
2 Ir 0.0000 0.0000 0.5000  2 Hf 2.41
3 Ir 0.5000 0.0000 0.0000  2 Hf 2.41
4 Hf 0.0000 0.0000 0.0000  4 Ir 2.41, 2 Tl 2.64
5 W 0.5000 0.5000 0.5000  4 Tl 3.40, 8 Ir 3.57

12.
The following is a PBE-GGA calculation of crystalline YTaSb2 at its relaxed geometry, from Alexandria.

Energy (eV per atom): -6.8267
E above lowest polymorph (meV/atom): 131.3

a b c (Å): 5.2497 3.7612 5.5602
angles (deg): 70.26 90.00 90.00
With the nearest neighbours (Å) after each atom.
Positions (direct):
1 Sb 0.0000 0.0771 0.9700  3 Ta 2.95-2.96
2 Sb 0.5000 0.3922 0.3403  2 Ta 2.65, 1 Y 2.91
3 Ta 0.0000 0.3596 0.4060  5 Sb 2.65-2.96
4 Y 0.5000 0.6711 0.7837  3 Sb 2.91-2.99

13.
The following is a PBE-GGA calculation of crystalline BeMo2Os at its relaxed geometry, from Alexandria.

Energy (eV per atom): -9.0781
Formation enthalpy at 0 K (kJ/mol of formula units): 29.5

a b c (Å): 4.2265 2.7864 4.8358
angles (deg): 81.95 90.00 90.00
With the nearest neighbours (Å) after each atom.
Positions (direct):
1 Be 0.5000 0.6100 0.7729  2 Os 2.52, 7 Mo 2.55-2.75, 2 Be 2.79
2 Mo 0.0000 0.0456 0.9588  3 Os 2.60-2.71, 4 Be 2.66-2.71, 4 Mo 2.71-2.79
3 Mo 0.5000 0.2192 0.2811  3 Be 2.55-2.75, 4 Os 2.66-2.78, 4 Mo 2.71-2.79
4 Os 0.0000 0.6252 0.4872  2 Be 2.52, 7 Mo 2.60-2.78, 2 Os 2.79